Below is crystalline Y2NpAs3 at its relaxed geometry, with properties calculated at the PBE level.

Properties
DOS(E_F): 1.629 states/eV per atom
calculated volume: 24.6 A^3/atom
E: -7.8948 eV per atom
density: 7.18 g/cm3
total magnetic moment: 7.6 Bohr magnetons per cell

Cell: 4.1197 4.1197 17.4245 Å, 90.00 90.00 90.00°
Last column: nearest neighbours and their distance in Å.
Space group I4/mmm (No. 139)
Symmetry-distinct sites (fractional):
Y (0.0000, 0.0000, 0.1679) x4  6 As 2.90-2.93
Np (0.0000, 0.0000, 0.5000) x2  6 As 2.88-2.91
As (0.0000, 0.0000, 0.0000) x2  4 Np 2.91, 2 Y 2.93
As (0.0000, 0.0000, 0.3345) x4  1 Np 2.88, 5 Y 2.90-2.91

---

Below is crystalline LiSb2Ru at its relaxed geometry, with properties calculated at the PBE level.

Properties
DOS(E_F): 0.587 states/eV per atom
polymorph energy (0 for the lowest one): 48 meV/atom
calculated volume: 21.1 A^3/atom
density: 6.93 g/cm3
total magnetic moment: 0.0 Bohr magnetons per cell

Cell: 3.1368 3.9230 13.6988 Å, 90.00 90.00 90.00°
Last column: nearest neighbours and their distance in Å.
Space group Imm2 (No. 44)
Symmetry-distinct sites (fractional):
Li (0.0000, 0.0000, 0.0000) x2  6 Sb 2.87-2.97, 2 Li 3.14
Sb (0.0000, 0.0000, 0.3847) x2  2 Ru 2.68, 4 Li 2.97
Sb (0.0000, 0.5000, 0.1528) x2  4 Ru 2.70, 2 Li 2.87
Ru (0.0000, 0.5000, 0.7259) x2  6 Sb 2.68-2.70

---

Below is crystalline Tb3MnTl4S8 at its relaxed geometry, with properties calculated at the PBE level.

Properties
DOS(E_F): 0.306 states/eV per atom
calculated volume: 25.4 A^3/atom
E: -5.2820 eV per atom
density: 6.57 g/cm3
total magnetic moment: 12.4 Bohr magnetons per cell

Cell: 7.9285 7.9285 22.3586 Å, 90.00 90.00 120.00°
Last column: nearest neighbours and their distance in Å.
Space group R-3m (No. 166, hexagonal axes)
Symmetry-distinct sites (fractional):
Tb (0.0000, 0.5000, 0.0000) x9  6 S 2.74-2.76
Mn (0.0000, 0.0000, 0.0000) x3  6 S 2.59
Tl (0.0000, 0.0000, 0.5000) x3  6 S 3.34
Tl (0.0000, 0.5000, 0.5000) x9  6 S 3.19
S (0.0000, 0.0000, 0.2659) x6  3 Tb 2.74
S (0.0199, 0.5100, 0.7309) x18  1 Mn 2.59, 2 Tb 2.76

---

Below is crystalline BaAlI2N at its relaxed geometry, with properties calculated at the PBE level.

Properties
DOS(E_F): 0.390 states/eV per atom
polymorph energy (0 for the lowest one): 869 meV/atom
calculated volume: 47.8 A^3/atom
density: 3.00 g/cm3
total magnetic moment: 2.0 Bohr magnetons per cell

Cell: 6.7965 6.7965 5.1756 Å, 90.00 90.00 90.00°
Last column: nearest neighbours and their distance in Å.
Space group P4/mmm (No. 123)
Symmetry-distinct sites (fractional):
Ba (0.0000, 0.0000, 0.0000) x1  2 N 2.59
Al (0.5000, 0.5000, 0.5000) x1  8 I 4.27
I (0.0000, 0.5000, 0.0000) x2  2 Ba 3.40
N (0.0000, 0.0000, 0.5000) x1  2 Ba 2.59

---

Below is crystalline ThBiRu2 at its relaxed geometry, with properties calculated at the PBE level.

Properties
DOS(E_F): 0.522 states/eV per atom
polymorph energy (0 for the lowest one): 0 meV/atom
calculated volume: 20.6 A^3/atom
density: 12.99 g/cm3
total magnetic moment: 0.0 Bohr magnetons per cell

Cell: 4.6604 4.6604 3.7856 Å, 90.00 90.00 90.00°
Last column: nearest neighbours and their distance in Å.
Space group P4/mmm (No. 123)
Symmetry-distinct sites (fractional):
Th (0.0000, 0.0000, 0.0000) x1  8 Ru 3.00, 4 Bi 3.30
Bi (0.5000, 0.5000, 0.0000) x1  8 Ru 3.00, 4 Th 3.30
Ru (0.0000, 0.5000, 0.5000) x2  4 Th 3.00, 4 Bi 3.00, 4 Ru 3.30

---

Below is crystalline Ba2MgGeAu6 at its relaxed geometry, with properties calculated at the PBE level.

Properties
DOS(E_F): 0.420 states/eV per atom
calculated volume: 26.1 A^3/atom
E: -3.4729 eV per atom
density: 9.89 g/cm3
total magnetic moment: 0.0 Bohr magnetons per cell

Cell: 6.9698 6.9908 7.3336 Å, 90.08 118.05 119.69°
Last column: nearest neighbours and their distance in Å.
Space group P-1 (No. 2)
Symmetry-distinct sites (fractional):
Ba (0.0715, 0.2870, 0.3543) x2  12 Au 3.57-3.86, 1 Ge 3.98
Mg (0.5000, 0.0000, 0.5000) x1  6 Au 2.67-2.68
Ge (0.5000, 0.5000, 0.0000) x1  6 Au 2.56-2.57
Au (0.0015, 0.2506, 0.8333) x2  1 Ge 2.57, 1 Mg 2.67
Au (0.4053, 0.1582, 0.1563) x2  1 Ge 2.57, 1 Mg 2.68, 1 Au 2.86
Au (0.4115, 0.7519, 0.1579) x2  1 Ge 2.56, 1 Mg 2.67, 1 Au 2.86

---

Below is crystalline LaAl2Pt at its relaxed geometry, with properties calculated at the PBE level.

Properties
DOS(E_F): 0.712 states/eV per atom
calculated volume: 19.9 A^3/atom
E: -5.2714 eV per atom
density: 8.08 g/cm3
total magnetic moment: 0.0 Bohr magnetons per cell

Cell: 3.2611 3.2611 7.4983 Å, 90.00 90.00 90.00°
Last column: nearest neighbours and their distance in Å.
Space group P4/mmm (No. 123)
Symmetry-distinct sites (fractional):
La (0.0000, 0.0000, 0.0000) x1  4 La 3.26, 8 Al 3.30
Al (0.5000, 0.5000, 0.3150) x2  4 Pt 2.69, 1 Al 2.77
Pt (0.0000, 0.0000, 0.5000) x1  8 Al 2.69

---

Below is crystalline TbYbHg2 at its relaxed geometry, with properties calculated at the PBE level.

Properties
DOS(E_F): 3.876 states/eV per atom
calculated volume: 26.2 A^3/atom
E: -2.2442 eV per atom
density: 11.63 g/cm3
total magnetic moment: 1.0 Bohr magnetons per cell

Cell: 7.4823 7.4823 7.4823 Å, 90.00 90.00 90.00°
Last column: nearest neighbours and their distance in Å.
Space group Fm-3m (No. 225)
Symmetry-distinct sites (fractional):
Tb (0.0000, 0.0000, 0.0000) x4  8 Hg 3.24
Yb (0.0000, 0.0000, 0.5000) x4  8 Hg 3.24
Hg (0.2500, 0.2500, 0.2500) x8  4 Tb 3.24, 4 Yb 3.24

---

Below is crystalline LiBe3 at its relaxed geometry, with properties calculated at the PBE level.

Properties
DOS(E_F): 0.169 states/eV per atom
polymorph energy (0 for the lowest one): 34 meV/atom
calculated volume: 9.9 A^3/atom
density: 1.43 g/cm3
total magnetic moment: 0.0 Bohr magnetons per cell

Cell: 2.2448 5.7567 6.4527 Å, 101.24 97.19 101.20°
Last column: nearest neighbours and their distance in Å.
Space group P-1 (No. 2)
Symmetry-distinct sites (fractional):
Li (0.1612, 0.2555, 0.0126) x2  2 Li 2.24, 2 Be 2.44-2.47
Be (0.1253, 0.6521, 0.6330) x2  9 Be 2.13-2.24
Be (0.2057, 0.0148, 0.3467) x2  9 Be 2.16-2.35
Be (0.4720, 0.3239, 0.6606) x2  9 Be 2.20-2.35

---

Below is crystalline KBa3As6 at its relaxed geometry, with properties calculated at the PBE level.

Properties
DOS(E_F): 0.423 states/eV per atom
calculated volume: 31.5 A^3/atom
E: -4.1940 eV per atom
density: 4.74 g/cm3
total magnetic moment: 0.0 Bohr magnetons per cell

Cell: 13.3790 13.3790 12.2099 Å, 90.00 90.00 120.00°
Last column: nearest neighbours and their distance in Å.
Space group R-3c (No. 167, hexagonal axes)
Symmetry-distinct sites (fractional):
K (0.0000, 0.0000, 0.0000) x6  6 As 3.48
Ba (0.0000, 0.4367, 0.2500) x18  8 As 3.33-3.62
As (0.0777, 0.2352, 0.3285) x36  2 As 2.51-2.63

---

Below is crystalline DyNiHg at its relaxed geometry, with properties calculated at the PBE level.

Properties
DOS(E_F): 0.537 states/eV per atom
calculated volume: 22.1 A^3/atom
E: -3.8535 eV per atom
density: 10.54 g/cm3
total magnetic moment: 0.0 Bohr magnetons per cell

Cell: 6.4290 6.4290 6.4290 Å, 90.00 90.00 90.00°
Last column: nearest neighbours and their distance in Å.
Space group F-43m (No. 216)
Symmetry-distinct sites (fractional):
Dy (0.0000, 0.0000, 0.0000) x4  4 Ni 2.78
Ni (0.2500, 0.2500, 0.2500) x4  4 Hg 2.78, 4 Dy 2.78
Hg (0.0000, 0.0000, 0.5000) x4  4 Ni 2.78

---

Below is crystalline Pm8Ge3Te4P at its relaxed geometry, with properties calculated at the PBE level.

Properties
DOS(E_F): 0.225 states/eV per atom
calculated volume: 29.4 A^3/atom
E: -5.6824 eV per atom
density: 6.78 g/cm3
total magnetic moment: 0.0 Bohr magnetons per cell

Cell: 8.6450 8.6450 21.7989 Å, 90.00 90.00 120.00°
Last column: nearest neighbours and their distance in Å.
Space group R-3m (No. 166, hexagonal axes)
Symmetry-distinct sites (fractional):
Pm (0.0000, 0.0000, 0.2417) x6  3 Ge 2.98, 3 Te 3.20
Pm (0.0017, 0.5008, 0.2402) x18  1 P 2.95, 2 Ge 2.97, 3 Te 3.21-3.23
Ge (0.0000, 0.5000, 0.5000) x9  6 Pm 2.97-2.98
Te (0.0000, 0.0000, 0.0000) x3  6 Pm 3.23
Te (0.0000, 0.5000, 0.0000) x9  6 Pm 3.20-3.21
P (0.0000, 0.0000, 0.5000) x3  6 Pm 2.95